Entry 1:
# Ho2Ni15Ir2

A relaxed structure of Ho2Ni15Ir2 (PBE, the Alexandria database).

Structure (POSCAR):
```
Ho2Ni15Ir2
1.0
-4.323 4.574 -0.517
-3.398 -2.606 -4.641
-4.437 -2.654 3.626
Ni Ir Ho
15 2 2
Cartesian
-6.358 2.032 -0.787 Ni
-2.218 -1.327 1.813 Ni
-5.801 -2.719 -0.745 Ni
-4.048 2.440 -1.743 Ni
-3.707 -2.621 -2.184 Ni
-3.673 -0.473 -3.415 Ni
-4.357 2.426 0.714 Ni
-4.128 -2.640 1.169 Ni
-2.162 2.287 -0.259 Ni
-5.744 0.868 -2.801 Ni
-6.260 0.845 1.302 Ni
-4.403 -0.506 2.394 Ni
-6.414 -1.555 1.269 Ni
-1.699 -1.303 -2.320 Ni
-5.898 -1.532 -2.834 Ni
-1.248 -0.071 -0.157 Ir
-10.910 -0.616 -1.375 Ir
-7.987 -0.451 -1.006 Ho
-4.171 -0.236 -0.526 Ho
```

- Calculated total energy: -117.41 eV per formula unit
- Calculated volume: 245.9 Å³/cell
- SG: R-3m
- Magnetic moment: 7.88 Bohr magnetons per cell
- Calculated formation energy: -0.200 eV per atom

=====

Entry 2:
# HoNi4Ir

A relaxed structure of HoNi4Ir (PBE, the Alexandria database).

Structure (POSCAR):
```
HoNi4Ir
1.0
-0.335 3.592 3.262
-4.069 2.648 0.292
-2.939 -0.474 3.846
Ir Ni Ho
1 4 1
Cartesian
-1.836 1.442 1.850 Ir
-4.415 1.818 3.001 Ni
-2.566 2.286 4.471 Ni
-3.125 3.832 2.711 Ni
-4.581 3.597 4.616 Ni
0.000 0.000 0.000 Ho
```

- Calculated total energy: -38.10 eV per formula unit
- Calculated volume: 81.3 Å³/cell
- SG: F-43m
- Magnetic moment: 1.99 Bohr magnetons per cell
- Calculated formation energy: -0.255 eV per atom
- Distance to the lowest polymorph of the same formula: 0.0 meV per atom

=====

- Look up the magnetic moment of the first one.
  7.88 Bohr magnetons per cell